# 1
This record from Alexandria describes a relaxed NaNpMnS4 crystal. The functional is PBE.

Structure (POSCAR):
```
NaNpMnS4
1.0
-3.831 4.176 5.051
3.831 -4.176 5.051
3.831 4.176 -5.051
Na Np Mn S
2 2 2 8
Cartesian
0.000 2.088 1.590
3.831 2.088 3.461
3.831 0.000 0.000
0.000 0.000 5.051
1.916 2.088 -2.525
1.916 -2.088 2.525
3.831 3.713 -2.576
3.831 -0.463 2.576
2.138 2.088 -0.039
5.525 2.088 -0.039
-1.694 2.088 5.090
1.694 2.088 5.090
0.000 4.639 2.475
0.000 0.463 7.627
```

Results
The density of states at the Fermi level comes out at 13.96 states/eV per cell. The space group is No. 74. Its volume is 323.3 Å³/cell. Its total energy is -6.70 eV per atom. The calculation puts the uncorrected formation energy at -0.9986 eV per atom.

# 2
This record from Alexandria describes a relaxed Sm2AlHg4 crystal. The functional is PBE.

Structure (POSCAR):
```
Sm2AlHg4
1.0
2.542 1.467 8.222
-2.542 1.467 8.222
0.000 -2.935 8.222
Sm Al Hg
2 1 4
Cartesian
0.000 0.000 6.045
0.000 0.000 18.621
0.000 0.000 12.333
0.000 0.000 2.903
0.000 0.000 9.152
0.000 0.000 15.514
0.000 0.000 21.763
```

Results
The density of states at the Fermi level comes out at 4.16 states/eV per cell. Its energy relative to the elements is -0.277 eV/atom. The space group is No. 166. Its volume is 184.0 Å³/cell. Its total energy is -2.33 eV per atom.

# 3
This record from Alexandria describes a relaxed La2TlSnO crystal. The functional is PBE.

Structure (POSCAR):
```
La2TlSnO
1.0
6.167 0.000 0.000
0.000 6.167 0.000
0.000 0.000 4.167
La Tl Sn O
2 1 1 1
Cartesian
0.000 3.083 0.000
3.083 0.000 0.000
0.000 0.000 2.083
3.083 3.083 0.000
3.083 3.083 2.083
```

Results
The density of states at the Fermi level comes out at 6.98 states/eV per cell. The space group is No. 123. Its volume is 158.5 Å³/cell. Its total energy is -4.46 eV per atom. The calculation puts the uncorrected formation energy at -0.2242 eV per atom.

# 4
This record from Alexandria describes a relaxed In4Se2Br3 crystal. The functional is PBE.

Structure (POSCAR):
```
In4Se2Br3
1.0
6.839 -2.074 0.000
6.839 2.074 0.000
-1.377 0.000 9.909
In Se Br
4 2 3
Cartesian
1.164 0.000 1.237
4.120 0.000 4.018
8.181 0.000 5.890
11.137 0.000 8.672
3.015 0.000 6.614
9.285 0.000 3.295
-0.689 0.000 4.954
5.308 0.000 1.424
6.992 0.000 8.485
```

Results
The density of states at the Fermi level comes out at 2.36 states/eV per cell. The space group is No. 12. Its volume is 281.0 Å³/cell. Its total energy is -3.09 eV per atom. The calculation puts the uncorrected formation energy at -0.5362 eV per atom.

# 5
This record from Alexandria describes a relaxed NdNiH2 crystal. The functional is PBE.

Structure (POSCAR):
```
NdNiH2
1.0
2.043 1.179 3.769
-2.043 1.179 3.769
0.000 -2.359 3.769
Nd Ni H
1 1 2
Cartesian
0.000 0.000 0.000
0.000 0.000 5.654
0.000 0.000 4.103
0.000 0.000 7.205
```

Results
The density of states at the Fermi level comes out at 1.81 states/eV per cell. The space group is No. 166. Its volume is 54.5 Å³/cell. Its total energy is -4.69 eV per atom.

# 6
This record from Alexandria describes a relaxed K3Y3ThTe8 crystal. The functional is PBE.

Structure (POSCAR):
```
K3Y3ThTe8
1.0
4.479 2.586 8.362
-4.479 2.586 8.362
0.000 -5.172 8.362
K Y Th Te
3 3 1 8
Cartesian
-2.239 -1.293 8.362
-2.239 1.293 16.725
0.000 2.586 8.362
-4.479 0.000 12.544
-2.239 1.293 4.181
2.239 1.293 4.181
0.000 0.000 12.544
-2.276 -1.314 14.294
0.000 0.000 5.918
0.000 -2.628 10.794
-2.276 1.314 10.794
2.276 -1.314 14.294
0.000 2.628 14.294
0.000 0.000 19.169
2.276 1.314 10.794
```

Results
The space group is No. 166. Its volume is 581.1 Å³/cell. Its total energy is -5.05 eV per atom. The calculation puts the uncorrected formation energy at -1.3723 eV per atom.

# 7
This record from Alexandria describes a relaxed RbSbAs3 crystal. The functional is PBE.

Structure (POSCAR):
```
RbSbAs3
1.0
5.449 0.000 0.000
0.000 5.449 0.000
0.000 0.000 5.449
Rb Sb As
1 1 3
Cartesian
0.000 0.000 0.000
2.725 2.725 2.725
0.000 2.725 2.725
2.725 0.000 2.725
2.725 2.725 0.000
```

Results
The density of states at the Fermi level comes out at 7.63 states/eV per cell. For the energy above the most stable polymorph in this dataset, the calculation gives 0 meV/atom. The space group is No. 221. Its volume is 161.8 Å³/cell. Its total energy is -3.37 eV per atom. The calculation puts the uncorrected formation energy at 0.4412 eV per atom.

# 8
This record from Alexandria describes a relaxed Nb2BCl crystal. The functional is PBE.

Structure (POSCAR):
```
Nb2BCl
1.0
0.000 3.027 3.027
3.027 0.000 3.027
3.027 3.027 0.000
Nb B Cl
2 1 1
Cartesian
1.513 1.513 1.513
4.540 4.540 4.540
0.000 0.000 0.000
3.027 3.027 3.027
```

Results
The density of states at the Fermi level comes out at 0.27 states/eV per cell. The space group is No. 225. Its volume is 55.5 Å³/cell. Its total energy is -6.95 eV per atom. The calculation puts the uncorrected formation energy at 0.2134 eV per atom.

# 9
This record from Alexandria describes a relaxed Pu2NpSe5 crystal. The functional is PBE.

Structure (POSCAR):
```
Pu2NpSe5
1.0
7.848 0.000 0.000
0.000 12.103 0.000
0.000 0.000 4.185
Pu Np Se
4 2 10
Cartesian
0.351 2.108 0.000
3.572 8.160 0.000
4.275 3.943 0.000
7.496 9.994 0.000
0.000 6.051 2.092
3.924 0.000 2.092
0.000 0.000 2.092
1.320 8.523 2.092
1.426 4.917 0.000
2.498 10.968 0.000
2.603 2.472 2.092
3.924 6.051 2.092
5.244 9.631 2.092
5.350 1.135 0.000
6.421 7.186 0.000
6.527 3.580 2.092
```

Results
The density of states at the Fermi level comes out at 48.07 states/eV per cell. The space group is No. 55. Its volume is 397.4 Å³/cell. Its total energy is -8.68 eV per atom. The calculation puts the uncorrected formation energy at -1.3009 eV per atom.

# 10
This record from Alexandria describes a relaxed Pr3NiGe6Pd2 crystal. The functional is PBE.

Structure (POSCAR):
```
Pr3NiGe6Pd2
1.0
5.998 0.000 0.000
-2.999 5.195 0.000
0.000 0.000 8.158
Pr Ni Ge Pd
3 1 6 2
Cartesian
0.000 0.000 0.000
0.000 3.463 5.263
2.999 1.732 2.895
0.000 0.000 4.079
0.000 1.912 2.459
-1.343 4.239 2.459
1.656 0.956 5.699
1.343 4.239 2.459
4.343 0.956 5.699
2.999 3.283 5.699
0.000 3.463 0.340
2.999 1.732 7.818
```

Results
The density of states at the Fermi level comes out at 6.31 states/eV per cell. Its energy relative to the elements is -0.440 eV/atom. The space group is No. 164. Its volume is 254.2 Å³/cell. Its total energy is -5.29 eV per atom.

# 11
This record from Alexandria describes a relaxed LiCuBi2 crystal. The functional is PBE.

Structure (POSCAR):
```
LiCuBi2
1.0
1.770 1.022 8.601
-1.770 1.022 8.601
0.000 -2.044 8.601
Li Cu Bi
1 1 2
Cartesian
0.000 0.000 0.000
0.000 0.000 12.902
0.000 0.000 6.279
0.000 0.000 19.525
```

Results
The density of states at the Fermi level comes out at 1.81 states/eV per cell. For the energy above the most stable polymorph in this dataset, the calculation gives 25 meV/atom. Its energy relative to the elements is -0.007 eV/atom. The space group is No. 166. Its volume is 93.4 Å³/cell. Its total energy is -3.45 eV per atom.

# 12
This record from Alexandria describes a relaxed LaTm2Bi3 crystal. The functional is PBE.

Structure (POSCAR):
```
LaTm2Bi3
1.0
-2.265 3.214 6.772
2.265 -3.214 6.772
2.265 3.214 -6.772
La Tm Bi
1 2 3
Cartesian
0.000 0.000 0.000
0.000 0.000 4.552
0.000 0.000 8.993
2.265 0.000 2.379
0.000 3.214 0.000
0.000 3.214 4.393
```

Results
The density of states at the Fermi level comes out at 1.11 states/eV per cell. Its energy relative to the elements is -0.857 eV/atom. The space group is No. 71. Its volume is 197.2 Å³/cell. Its total energy is -5.11 eV per atom.

# 13
This record from Alexandria describes a relaxed NpPaRuRh crystal. The functional is PBE.

Structure (POSCAR):
```
NpPaRuRh
1.0
0.000 3.413 3.413
3.413 0.000 3.413
3.413 3.413 0.000
Np Pa Ru Rh
1 1 1 1
Cartesian
0.000 0.000 0.000
3.413 3.413 3.413
1.706 1.706 1.706
5.119 5.119 5.119
```

Results
The density of states at the Fermi level comes out at 7.76 states/eV per cell. Its energy relative to the elements is -0.287 eV/atom. The space group is No. 216. Its volume is 79.5 Å³/cell. Its total energy is -10.05 eV per atom.

# 14
This record from Alexandria describes a relaxed CrGa2Co crystal. The functional is PBE.

Structure (POSCAR):
```
CrGa2Co
1.0
2.943 0.000 0.000
0.000 2.943 0.000
0.000 0.000 5.998
Cr Ga Co
1 2 1
Cartesian
0.000 0.000 0.000
1.471 1.471 1.601
1.471 1.471 4.397
0.000 0.000 2.999
```

Results
The density of states at the Fermi level comes out at 2.49 states/eV per cell. Its energy relative to the elements is -0.090 eV/atom. The space group is No. 123. Its volume is 51.9 Å³/cell. Its total energy is -5.79 eV per atom.

# 15
This record from Alexandria describes a relaxed CrAgRu2 crystal. The functional is PBE.

Structure (POSCAR):
```
CrAgRu2
1.0
2.744 -3.823 0.000
2.744 3.823 0.000
0.000 0.000 2.781
Cr Ag Ru
1 1 2
Cartesian
0.000 0.000 0.000
2.744 0.000 0.000
1.372 1.911 1.391
1.372 -1.911 1.391
```

Results
The density of states at the Fermi level comes out at 4.70 states/eV per cell. For the energy above the most stable polymorph in this dataset, the calculation gives 292 meV/atom. Its energy relative to the elements is 0.518 eV/atom. The space group is No. 65. Its volume is 58.4 Å³/cell. Its total energy is -7.24 eV per atom.

# 16
This record from Alexandria describes a relaxed AlZn2Br crystal. The functional is PBE.

Structure (POSCAR):
```
AlZn2Br
1.0
-3.216 3.216 5.467
3.216 -3.216 5.467
3.216 3.216 -5.467
Al Zn Br
2 4 2
Cartesian
0.000 0.000 0.000
0.000 3.216 2.734
4.825 1.426 -1.367
1.426 1.608 1.367
-1.608 1.791 4.100
1.791 1.608 6.834
3.216 0.000 2.734
0.000 0.000 5.467
```

Results
The density of states at the Fermi level comes out at 0.25 states/eV per cell. For the energy above the most stable polymorph in this dataset, the calculation gives 311 meV/atom. The space group is No. 122. Its volume is 226.2 Å³/cell. Its total energy is -1.87 eV per atom. The calculation puts the uncorrected formation energy at 0.1177 eV per atom.

# 17
This record from Alexandria describes a relaxed La2PmDy2Y2 crystal. The functional is PBE.

Structure (POSCAR):
```
La2PmDy2Y2
1.0
5.729 -2.564 0.000
5.729 2.564 0.000
-1.164 0.000 8.045
La Pm Dy Y
2 1 2 2
Cartesian
1.121 0.000 3.433
9.174 0.000 4.612
0.000 0.000 0.000
4.589 0.000 2.275
5.705 0.000 5.770
2.259 0.000 6.925
8.036 0.000 1.120
```

Results
The density of states at the Fermi level comes out at 11.50 states/eV per cell. Its energy relative to the elements is 0.028 eV/atom. The space group is No. 12. Its volume is 236.4 Å³/cell. Its total energy is -5.22 eV per atom.

# 18
This record from Alexandria describes a relaxed Ho2ThC2 crystal. The functional is PBE.

Structure (POSCAR):
```
Ho2ThC2
1.0
1.831 1.057 9.471
-1.831 1.057 9.471
0.000 -2.114 9.471
Ho Th C
2 1 2
Cartesian
0.000 0.000 6.587
0.000 0.000 21.827
0.000 0.000 0.000
0.000 0.000 11.142
0.000 0.000 17.272
```

Results
The density of states at the Fermi level comes out at 2.48 states/eV per cell. Its energy relative to the elements is -0.277 eV/atom. The space group is No. 166. Its volume is 109.9 Å³/cell. Its total energy is -7.28 eV per atom.

# 19
This record from Alexandria describes a relaxed Tb5DyHo8 crystal. The functional is PBE.

Structure (POSCAR):
```
Tb5DyHo8
1.0
-4.745 4.745 5.013
4.745 -4.745 5.013
4.745 4.745 -5.013
Tb Dy Ho
5 1 8
Cartesian
0.000 0.000 0.000
2.006 -1.051 4.248
3.695 2.739 0.765
2.739 5.796 -0.765
1.051 2.006 5.778
0.000 4.745 2.506
3.076 -0.671 0.957
3.912 3.091 -2.531
6.414 0.671 0.957
5.416 -1.669 4.056
0.833 1.654 2.482
4.075 1.669 4.056
1.654 -0.833 7.544
3.091 5.578 2.531
```

Results
The density of states at the Fermi level comes out at 20.28 states/eV per cell. Its energy relative to the elements is 0.253 eV/atom. The space group is No. 82. Its volume is 451.5 Å³/cell. Its total energy is -4.35 eV per atom.

# 20
This record from Alexandria describes a relaxed K3Hg4Bi2 crystal. The functional is PBE.

Structure (POSCAR):
```
K3Hg4Bi2
1.0
6.410 -2.563 0.000
6.410 2.563 0.000
-2.813 0.000 9.901
K Hg Bi
3 4 2
Cartesian
0.000 0.000 0.000
3.225 0.000 3.412
6.783 0.000 6.489
-0.473 0.000 3.817
0.945 0.000 9.410
9.062 0.000 0.491
10.481 0.000 6.084
3.090 0.000 7.237
6.918 0.000 2.664
```

Results
The density of states at the Fermi level comes out at 0.95 states/eV per cell. For the energy above the most stable polymorph in this dataset, the calculation gives 0 meV/atom. Its energy relative to the elements is -0.314 eV/atom. The space group is No. 12. Its volume is 325.4 Å³/cell. Its total energy is -1.68 eV per atom.